# LaErCBr

LaErCBr after structural relaxation (PBE, Alexandria).

Lattice parameters (Å, degrees): 3.726 3.729 7.766 90.00 103.91 119.95
Atoms (fractional coordinates):
La 0.517 0.156 0.688
Er 0.091 0.943 0.050
C 0.319 0.558 0.892
Br 0.951 0.374 0.340

Output
Raw formation energy, eV/atom: -0.93
Density, kg/m3: 7359
Density of states at the Fermi level, states/eV/atom: 0.55
E_tot, eV/cell: -24.09